1.
First-principles (PBE-GGA) data for a relaxed structure of TlW2Au, as listed in Alexandria via LeMat-Bulk.

Summary:
The value obtained for the total energy is -28.23 eV per cell. The value obtained for the formation energy from the elements is 0.829 eV/atom. The space-group type is P2/m.

Geometry as POSCAR:
```
TlW2Au
1.0
-2.3555 2.9626 -2.8865
-0.7467 -2.1862 -1.6345
-4.7771 -1.6186 2.2370
Au Tl W
1 1 2
direct
0.5000 0.2500 0.2500
0.5000 0.7500 0.7500
0.0000 0.9913 0.0094
0.0000 0.5087 0.4906
```



2.
First-principles (PBE-GGA) data for a relaxed structure of TbCe2Ho8, as listed in Alexandria via LeMat-Bulk.

Summary:
The value obtained for the total energy is -50.84 eV per cell. The value obtained for the formation energy from the elements is 0.207 eV/atom. The space-group type is C2/m.

Geometry as POSCAR:
```
TbCe2Ho8
1.0
-1.8277 -4.0357 3.2853
7.8059 1.8350 5.8663
2.3743 5.7972 7.7116
Tb Ce Ho
1 2 8
direct
0.0000 0.0000 0.0000
0.7428 0.2856 0.2856
0.2572 0.7144 0.7144
0.2649 0.1364 0.6019
0.2649 0.6019 0.1364
0.7351 0.8636 0.3981
0.2379 0.5466 0.5466
0.7351 0.3981 0.8636
0.2328 0.1863 0.1863
0.7672 0.8137 0.8137
0.7621 0.4534 0.4534
```



3.
First-principles (PBE-GGA) data for a relaxed structure of RbY3Rh, as listed in Alexandria via LeMat-Bulk.

Summary:
The value obtained for the total energy is -19.70 eV per cell. The value obtained for the formation energy from the elements is 1.603 eV/atom. The space-group type is Pm-3m.

Geometry as POSCAR:
```
RbY3Rh
1.0
-1.8339 -1.7959 4.5769
0.7726 -4.9295 -1.6247
4.8555 0.1061 1.9872
Y Rh Rb
3 1 1
direct
0.0000 0.5000 0.0000
0.0000 0.0000 0.5000
0.5000 0.0000 0.0000
0.5000 0.5000 0.5000
0.0000 0.0000 0.0000
```



4.
First-principles (PBE-GGA) data for a relaxed structure of CaIr2F, as listed in Alexandria via LeMat-Bulk.

Summary:
For the uncorrected formation energy, the calculation gives -3.718 eV per formula unit. The value obtained for the total energy is -50.63 eV per cell. The space-group type is I-42d.

Geometry as POSCAR:
```
CaIr2F
1.0
-0.6760 0.8752 3.3174
3.1891 -1.0864 0.9365
5.5958 10.8927 0.1097
Ca Ir F
2 4 2
direct
0.0000 0.0000 0.0000
0.7500 0.2500 0.5000
0.1263 0.1250 0.2500
0.6237 0.6250 0.2500
0.3750 0.8737 0.7500
0.8750 0.3763 0.7500
0.5000 0.5000 0.0000
0.2500 0.7500 0.5000
```



5.
First-principles (PBE-GGA) data for a relaxed structure of Er2SbSe4, as listed in Alexandria via LeMat-Bulk.

Summary:
For the uncorrected formation energy, the calculation gives -8.748 eV per formula unit. The value obtained for the total energy is -35.93 eV per cell. The space-group type is C2/m.

Geometry as POSCAR:
```
Er2SbSe4
1.0
-1.7865 -1.1444 -3.3796
2.6587 -6.5779 0.8220
-6.1487 1.6071 5.0619
Er Sb Se
2 1 4
direct
0.7397 0.7471 0.4794
0.2603 0.2529 0.5206
0.0000 0.0000 0.0000
0.8672 0.1742 0.7343
0.1328 0.8258 0.2657
0.6436 0.3140 0.2872
0.3564 0.6860 0.7128
```



6.
First-principles (PBE-GGA) data for a relaxed structure of HoRuCl6, as listed in Alexandria via LeMat-Bulk.

Summary:
For the uncorrected formation energy, the calculation gives -10.229 eV per formula unit. The value obtained for the total energy is -35.16 eV per cell. The space-group type is R-3.

Geometry as POSCAR:
```
HoRuCl6
1.0
6.3349 0.0081 0.0086
3.1604 5.4899 0.0120
3.1575 1.8248 5.7138
Ho Ru Cl
1 1 6
direct
0.5000 0.5000 0.5000
0.0000 0.0000 0.0000
0.0796 0.3880 0.7623
0.7703 0.0796 0.7622
0.6121 0.2297 0.2379
0.2297 0.9204 0.2378
0.9204 0.6120 0.2377
0.3879 0.7703 0.7621
```



7.
First-principles (PBE-GGA) data for a relaxed structure of BaAcTlAg, as listed in Alexandria via LeMat-Bulk.

Summary:
The value obtained for the total energy is -12.38 eV per cell. The value obtained for the formation energy from the elements is -0.283 eV/atom. The space-group type is F-43m.

Geometry as POSCAR:
```
BaAcTlAg
1.0
-5.1101 -2.7964 0.0300
-0.7842 -4.6709 -3.3915
-0.4071 -5.2979 2.3877
Ac Tl Ag Ba
1 1 1 1
direct
0.0000 0.0000 0.0000
0.7500 0.7500 0.7500
0.2500 0.2500 0.2500
0.5000 0.5000 0.5000
```



8.
First-principles (PBE-GGA) data for a relaxed structure of CePr2Te2N2, as listed in Alexandria via LeMat-Bulk.

Summary:
For the uncorrected formation energy, the calculation gives -9.377 eV per formula unit. The value obtained for the total energy is -47.80 eV per cell. The space-group type is I4/mmm.

Geometry as POSCAR:
```
CePr2Te2N2
1.0
-1.6759 -2.6235 -3.2330
1.7299 -3.6088 2.0317
-7.0449 2.2128 4.9715
Ce Pr Te N
1 2 2 2
direct
0.0000 0.0000 0.0000
0.3924 0.3924 0.7847
0.6076 0.6076 0.2153
0.1867 0.1867 0.3733
0.8133 0.8133 0.6267
0.0000 0.5000 0.0000
0.5000 0.0000 0.0000
```



9.
First-principles (PBE-GGA) data for a relaxed structure of Ce2TlZn3, as listed in Alexandria via LeMat-Bulk.

Summary:
The value obtained for the total energy is -19.07 eV per cell. The value obtained for the formation energy from the elements is -0.169 eV/atom. The space-group type is Imm2.

Geometry as POSCAR:
```
Ce2TlZn3
1.0
-2.4227 2.7872 -0.1017
-2.8101 -2.5460 -2.8311
-1.1721 -3.1762 7.9747
Ce Tl Zn
2 1 3
direct
0.1380 0.1380 0.2759
0.8615 0.3615 0.7230
0.4622 0.9622 0.9244
0.6984 0.6984 0.3969
0.5454 0.5454 0.0908
0.2945 0.7945 0.5890
```



10.
First-principles (PBE-GGA) data for a relaxed structure of TaTeRu, as listed in Alexandria via LeMat-Bulk.

Summary:
For the uncorrected formation energy, the calculation gives -0.003 eV per formula unit. The value obtained for the total energy is -24.27 eV per cell. The space-group type is F-43m.

Geometry as POSCAR:
```
TaTeRu
1.0
-3.3320 -2.1650 1.8938
0.5830 -1.9642 3.8959
-1.9262 1.6405 3.6020
Ru Ta Te
1 1 1
direct
0.7500 0.7500 0.7500
0.0000 0.0000 0.0000
0.5000 0.5000 0.5000
```



11.
First-principles (PBE-GGA) data for a relaxed structure of Rb2CeAuCl6, as listed in Alexandria via LeMat-Bulk.

Summary:
For the uncorrected formation energy, the calculation gives -16.309 eV per formula unit. The value obtained for the total energy is -38.53 eV per cell. The space-group type is Fm-3m.

Geometry as POSCAR:
```
Rb2CeAuCl6
1.0
0.0000 5.4850 5.4850
5.4850 0.0000 5.4850
5.4850 5.4850 0.0000
Rb Ce Au Cl
2 1 1 6
direct
0.7500 0.7500 0.7500
0.2500 0.2500 0.2500
0.0000 0.0000 0.0000
0.5000 0.5000 0.5000
0.2492 0.7508 0.2492
0.7508 0.2492 0.2492
0.7508 0.2492 0.7508
0.2492 0.2492 0.7508
0.7508 0.7508 0.2492
0.2492 0.7508 0.7508
```



12.
First-principles (PBE-GGA) data for a relaxed structure of Tb12Sn3Hg5, as listed in Alexandria via LeMat-Bulk.

Summary:
The value obtained for the total energy is -280.70 eV per cell. The value obtained for the formation energy from the elements is -0.055 eV/atom. The space-group type is Ia-3d.

Geometry as POSCAR:
```
Tb12Sn3Hg5
1.0
-14.6039 4.5380 -0.7840
3.8922 -6.9568 -13.0743
1.6919 -9.7616 11.6760
Sn Hg Tb
12 20 48
direct
0.7500 0.3750 0.1250
0.8750 0.7500 0.1250
0.3750 0.7500 0.6250
0.2500 0.1250 0.3750
0.8750 0.1250 0.2500
0.3750 0.6250 0.2500
0.6250 0.3750 0.7500
0.1250 0.8750 0.7500
0.7500 0.8750 0.6250
0.6250 0.2500 0.3750
0.1250 0.2500 0.8750
0.2500 0.6250 0.8750
0.1250 0.3750 0.2500
0.0000 0.5000 0.0000
0.0000 0.0000 0.0000
0.3750 0.2500 0.1250
0.5000 0.0000 0.5000
0.5000 0.5000 0.0000
0.1250 0.7500 0.3750
0.7500 0.1250 0.8750
0.7500 0.6250 0.3750
0.3750 0.1250 0.7500
0.6250 0.8750 0.2500
0.5000 0.5000 0.5000
0.5000 0.0000 0.0000
0.0000 0.0000 0.5000
0.2500 0.3750 0.6250
0.2500 0.8750 0.1250
0.0000 0.5000 0.5000
0.8750 0.2500 0.6250
0.6250 0.7500 0.8750
0.8750 0.6250 0.7500
0.7211 0.1324 0.0561
0.3350 0.5561 0.4237
0.9439 0.3676 0.2789
0.5561 0.2211 0.1324
0.5887 0.7211 0.6650
0.9439 0.5763 0.1650
0.3350 0.7789 0.4113
0.0763 0.9113 0.1324
0.5763 0.9439 0.6650
0.7211 0.5887 0.1650
0.7789 0.4439 0.3676
0.8350 0.9237 0.0561
0.1324 0.7211 0.5561
0.3676 0.4237 0.0887
0.0887 0.9237 0.3676
0.4113 0.1324 0.5763
0.0887 0.1650 0.2211
0.4439 0.6650 0.0763
0.8350 0.9113 0.2789
0.1324 0.4113 0.0763
0.3676 0.9439 0.7789
0.5763 0.6324 0.4113
0.9237 0.8350 0.5561
0.7789 0.3350 0.9113
0.4237 0.3676 0.5887
0.0763 0.1650 0.4439
0.2211 0.6650 0.0887
0.1650 0.0887 0.7211
0.6324 0.0561 0.2211
0.8676 0.5887 0.9237
0.5561 0.3350 0.9237
0.5887 0.8676 0.4237
0.9113 0.8350 0.7789
0.9113 0.0763 0.6324
0.8676 0.2789 0.4439
0.1650 0.0763 0.9439
0.6324 0.5763 0.9113
0.4237 0.0561 0.3350
0.2789 0.4113 0.8350
0.2211 0.5561 0.6324
0.9237 0.0887 0.8676
0.6650 0.2211 0.5887
0.4439 0.7789 0.8676
0.0561 0.4237 0.8350
0.4113 0.2789 0.3350
0.0561 0.6324 0.7211
0.6650 0.4439 0.5763
0.2789 0.8676 0.9439
```